Record 1
First-principles (PBE-GGA) data for a relaxed Nb2CoNi9 crystal, as listed in Alexandria.

Output
* theoretical density: 8.9 g/cm3
* DFT formation energy: -106 meV per atom

a = 4.4289 Å, b = 5.8191 Å, c = 6.2608 Å
α = 111.63°, β = 90.10°, γ = 104.87°
Last column: nearest neighbours and their distance in Å.
Space group P-1 (No. 2)
One atom of each set of equivalent atoms:
Nb (0.0949, 0.2818, 0.0940) [2 per cell]  1 Co 2.48, 10 Ni 2.52-2.67
Co (0.0000, 0.5000, 0.5000) [1 per cell]  2 Nb 2.48, 10 Ni 2.50-2.66
Ni (0.1586, 0.9915, 0.6620) [2 per cell]  9 Ni 2.51-2.63, 1 Co 2.56, 2 Nb 2.65-2.67
Ni (0.2625, 0.7686, 0.2520) [2 per cell]  9 Ni 2.50-2.68, 2 Nb 2.53-2.56, 1 Co 2.66
Ni (0.3276, 0.4833, 0.8167) [2 per cell]  8 Ni 2.46-2.69, 1 Co 2.50, 3 Nb 2.52-2.54
Ni (0.4285, 0.2553, 0.4174) [2 per cell]  9 Ni 2.46-2.63, 2 Co 2.51-2.60, 1 Nb 2.58
Ni (0.5000, 0.0000, 0.0000) [1 per cell]  8 Ni 2.50-2.69, 4 Nb 2.65-2.66

***

Record 2
First-principles (PBE-GGA) data for a relaxed Nb2Co2Ni15 crystal, as listed in Alexandria.

Output
* theoretical density: 8.7 g/cm3
* DFT formation energy: 12 meV per atom

a = 8.0525 Å, b = 8.0525 Å, c = 12.0331 Å
α = 90.00°, β = 90.00°, γ = 120.00°
Last column: nearest neighbours and their distance in Å.
Space group R-3m (No. 166, hexagonal axes)
One atom of each set of equivalent atoms:
Nb (0.0000, 0.0000, 0.1769) [6 per cell]  1 Co 2.72, 15 Ni 2.78-3.03
Co (0.0000, 0.0000, 0.4026) [6 per cell]  1 Co 2.34, 6 Ni 2.47-2.55
Ni (0.0000, 0.3105, 0.5000) [18 per cell]  8 Ni 2.37-2.50
Ni (0.0000, 0.5000, 0.0000) [9 per cell]  8 Ni 2.35-2.37, 2 Co 2.47
Ni (0.0052, 0.5026, 0.6552) [18 per cell]  8 Ni 2.30-2.49, 1 Co 2.55

***

Record 3
First-principles (PBE-GGA) data for a relaxed NbCo2Ni3 crystal, as listed in Alexandria.

Output
* offset from the most stable computed form: 0.351 eV/f.u.
* theoretical density: 8.8 g/cm3
* DFT formation energy: 29 meV per atom

a = 6.4395 Å, b = 7.1026 Å, c = 6.4681 Å
α = 90.00°, β = 99.90°, γ = 90.00°
Last column: nearest neighbours and their distance in Å.
Space group C2/c (No. 15)
One atom of each set of equivalent atoms:
Nb (0.0000, 0.0854, 0.2500) [4 per cell]  5 Ni 2.46-2.57, 6 Co 2.66-2.69
Co (0.1264, 0.2456, 0.6238) [8 per cell]  2 Co 2.45-2.50, 7 Ni 2.61-2.71, 3 Nb 2.66-2.69
Ni (0.0000, 0.4311, 0.2500) [4 per cell]  4 Ni 2.31-2.38, 1 Nb 2.46
Ni (0.2340, 0.4124, 0.0038) [8 per cell]  3 Ni 2.31-2.38, 2 Nb 2.46-2.57

***

Record 4
First-principles (PBE-GGA) data for a relaxed Nb2CoNi crystal, as listed in Alexandria.

Output
* offset from the most stable computed form: 0.423 eV/f.u.
* theoretical density: 8.6 g/cm3
* DFT formation energy: -23 meV per atom

a = 6.1724 Å, b = 6.1724 Å, c = 6.1724 Å
α = 90.00°, β = 90.00°, γ = 90.00°
Last column: nearest neighbours and their distance in Å.
Space group Fm-3m (No. 225)
One atom of each set of equivalent atoms:
Nb (0.2500, 0.2500, 0.2500) [8 per cell]  4 Ni 2.67, 4 Co 2.67
Co (0.0000, 0.0000, 0.0000) [4 per cell]  8 Nb 2.67
Ni (0.0000, 0.0000, 0.5000) [4 per cell]  8 Nb 2.67

***

Record 5
First-principles (PBE-GGA) data for a relaxed Nb2CoNi crystal, as listed in Alexandria.

Output
* offset from the most stable computed form: 2.329 eV/f.u.
* theoretical density: 8.2 g/cm3
* DFT formation energy: 453 meV per atom

a = 2.7621 Å, b = 2.7621 Å, c = 27.9347 Å
α = 90.00°, β = 90.00°, γ = 120.00°
Last column: nearest neighbours and their distance in Å.
Space group R-3m (No. 166, hexagonal axes)
One atom of each set of equivalent atoms:
Nb (0.0000, 0.0000, 0.0893) [6 per cell]  1 Ni 2.49, 3 Co 2.69, 6 Nb 2.76
Co (0.0000, 0.0000, 0.5000) [3 per cell]  6 Nb 2.69, 6 Co 2.76
Ni (0.0000, 0.0000, 0.0000) [3 per cell]  2 Nb 2.49, 6 Ni 2.76

***

Record 6
First-principles (PBE-GGA) data for a relaxed NbCo4Ni crystal, as listed in Alexandria.

Output
* offset from the most stable computed form: 0.000 eV/f.u.
* theoretical density: 8.9 g/cm3
* DFT formation energy: -67 meV per atom

a = 6.6141 Å, b = 6.6141 Å, c = 6.6141 Å
α = 90.00°, β = 90.00°, γ = 90.00°
Last column: nearest neighbours and their distance in Å.
Space group F-43m (No. 216)
One atom of each set of equivalent atoms:
Nb (0.0000, 0.0000, 0.0000) [4 per cell]  12 Co 2.74, 4 Ni 2.86
Co (0.1243, 0.1243, 0.3757) [16 per cell]  6 Co 2.33-2.35
Ni (0.2500, 0.2500, 0.7500) [4 per cell]  12 Co 2.74, 4 Nb 2.86

***

Record 7
First-principles (PBE-GGA) data for a relaxed NbCoNi2 crystal, as listed in Alexandria.

Output
* offset from the most stable computed form: 0.083 eV/f.u.
* theoretical density: 9.0 g/cm3
* DFT formation energy: -216 meV per atom

a = 3.6103 Å, b = 3.6103 Å, c = 7.6031 Å
α = 90.00°, β = 90.00°, γ = 90.00°
Last column: nearest neighbours and their distance in Å.
Space group I4/mmm (No. 139)
One atom of each set of equivalent atoms:
Nb (0.0000, 0.0000, 0.0000) [2 per cell]  4 Co 2.55, 8 Ni 2.62
Co (0.0000, 0.0000, 0.5000) [2 per cell]  4 Nb 2.55, 8 Ni 2.62
Ni (0.0000, 0.5000, 0.2500) [4 per cell]  4 Ni 2.55, 4 Nb 2.62, 4 Co 2.62

***

Record 8
First-principles (PBE-GGA) data for a relaxed Nb2CoNi crystal, as listed in Alexandria.

Output
* offset from the most stable computed form: 1.587 eV/f.u.
* theoretical density: 8.2 g/cm3
* DFT formation energy: 268 meV per atom

a = 6.7840 Å, b = 6.7840 Å, c = 5.3111 Å
α = 90.00°, β = 90.00°, γ = 90.00°
Last column: nearest neighbours and their distance in Å.
Space group I-42d (No. 122)
One atom of each set of equivalent atoms:
Nb (0.2380, 0.2500, 0.1250) [8 per cell]  2 Co 2.43, 2 Ni 2.54, 2 Nb 2.66
Co (0.0000, 0.0000, 0.0000) [4 per cell]  4 Nb 2.43, 2 Ni 2.66
Ni (0.0000, 0.0000, 0.5000) [4 per cell]  4 Nb 2.54, 2 Co 2.66

***

Record 9
First-principles (PBE-GGA) data for a relaxed Nb3CoNi crystal, as listed in Alexandria.

Output
* offset from the most stable computed form: 0.000 eV/f.u.
* theoretical density: 7.0 g/cm3
* DFT formation energy: 866 meV per atom

a = 4.5440 Å, b = 4.5440 Å, c = 4.5440 Å
α = 90.00°, β = 90.00°, γ = 90.00°
Last column: nearest neighbours and their distance in Å.
Space group Pm-3m (No. 221)
One atom of each set of equivalent atoms:
Nb (0.0000, 0.0000, 0.5000) [3 per cell]  2 Co 2.27
Co (0.0000, 0.0000, 0.0000) [1 per cell]  6 Nb 2.27
Ni (0.5000, 0.5000, 0.5000) [1 per cell]  12 Nb 3.21

***

Record 10
First-principles (PBE-GGA) data for a relaxed Nb3CoNi crystal, as listed in Alexandria.

Output
* offset from the most stable computed form: 1.337 eV/f.u.
* theoretical density: 6.9 g/cm3
* DFT formation energy: 1134 meV per atom

a = 4.5603 Å, b = 4.5603 Å, c = 4.5603 Å
α = 90.00°, β = 90.00°, γ = 90.00°
Last column: nearest neighbours and their distance in Å.
Space group Pm-3m (No. 221)
One atom of each set of equivalent atoms:
Nb (0.0000, 0.0000, 0.5000) [3 per cell]  2 Ni 2.28
Co (0.5000, 0.5000, 0.5000) [1 per cell]  12 Nb 3.22
Ni (0.0000, 0.0000, 0.0000) [1 per cell]  6 Nb 2.28

***

Record 11
First-principles (PBE-GGA) data for a relaxed NbCoNi2 crystal, as listed in Alexandria.

Output
* offset from the most stable computed form: 0.000 eV/f.u.
* theoretical density: 9.1 g/cm3
* DFT formation energy: -237 meV per atom

a = 3.6007 Å, b = 3.6007 Å, c = 3.8031 Å
α = 90.00°, β = 90.00°, γ = 90.00°
Last column: nearest neighbours and their distance in Å.
Space group P4/mmm (No. 123)
One atom of each set of equivalent atoms:
Nb (0.0000, 0.0000, 0.0000) [1 per cell]  4 Co 2.55, 8 Ni 2.62
Co (0.5000, 0.5000, 0.0000) [1 per cell]  4 Nb 2.55, 8 Ni 2.62
Ni (0.0000, 0.5000, 0.5000) [2 per cell]  4 Ni 2.55, 4 Nb 2.62, 4 Co 2.62

***

Record 12
First-principles (PBE-GGA) data for a relaxed NbCo2Ni2 crystal, as listed in Alexandria.

Output
* offset from the most stable computed form: 0.003 eV/f.u.
* theoretical density: 8.8 g/cm3
* DFT formation energy: 47 meV per atom

a = 6.8437 Å, b = 6.8437 Å, c = 2.6319 Å
α = 90.00°, β = 90.00°, γ = 90.00°
Last column: nearest neighbours and their distance in Å.
Space group P4/mbm (No. 127)
One atom of each set of equivalent atoms:
Nb (0.0000, 0.0000, 0.0000) [2 per cell]  2 Nb 2.63, 4 Co 2.72, 8 Ni 2.86
Co (0.1227, 0.3773, 0.0000) [4 per cell]  3 Co 2.37-2.63, 6 Ni 2.38-2.43
Ni (0.1720, 0.6720, 0.5000) [4 per cell]  6 Co 2.38-2.43, 2 Ni 2.63